[1]
A relaxed Nd5ErAg4 crystal, computed with PBE.

Computed properties:
VASP energy: -41.7 eV per cell
magnetization: 0.00 μB per atom
crystal system: tetragonal
V: 27.9 A^3/atom

abc: 3.717 3.717 20.175
angles: 90.00 90.00 90.00
Fractional coordinates of all 10 atoms:
1 Nd 0.000 0.000 0.000
2 Nd 0.000 0.000 0.190
3 Nd 0.000 0.000 0.379
4 Nd 0.000 0.000 0.621
5 Nd 0.000 0.000 0.810
6 Er 0.500 0.500 0.500
7 Ag 0.500 0.500 0.095
8 Ag 0.500 0.500 0.286
9 Ag 0.500 0.500 0.714
10 Ag 0.500 0.500 0.905

[2]
A relaxed Nd2ErAg6 crystal, computed with PBE.

Computed properties:
VASP energy: -33.4 eV per cell
magnetization: 0.00 μB per atom
crystal system: hexagonal
V: 23.3 A^3/atom

abc: 8.309 8.309 3.503
angles: 90.00 90.00 120.00
Fractional coordinates of all 9 atoms:
1 Nd 0.333 0.667 0.000
2 Nd 0.667 0.333 0.000
3 Er 0.000 0.000 0.000
4 Ag 0.000 0.331 0.500
5 Ag 0.000 0.669 0.500
6 Ag 0.331 0.000 0.500
7 Ag 0.331 0.331 0.500
8 Ag 0.669 0.000 0.500
9 Ag 0.669 0.669 0.500

[3]
A relaxed Nd2Er3Ag2 crystal, computed with PBE.

Computed properties:
VASP energy: -29.5 eV per cell
magnetization: 0.00 μB per atom
crystal system: monoclinic
V: 28.8 A^3/atom

abc: 5.916 5.916 8.228
angles: 112.11 112.11 50.41
Fractional coordinates of all 7 atoms:
1 Nd 0.120 0.120 0.262
2 Nd 0.880 0.880 0.738
3 Er 0.360 0.360 0.042
4 Er 0.500 0.500 0.500
5 Er 0.640 0.640 0.958
6 Ag 0.155 0.155 0.675
7 Ag 0.845 0.845 0.325

[4]
A relaxed NdErAg3 crystal, computed with PBE.

Computed properties:
VASP energy: -38.4 eV per cell
magnetization: 0.00 μB per atom
crystal system: orthorhombic
V: 24.0 A^3/atom

abc: 14.117 14.117 4.809
angles: 90.00 90.00 165.49
Fractional coordinates of all 10 atoms:
1 Nd 0.076 0.924 0.750
2 Nd 0.924 0.076 0.250
3 Er 0.210 0.790 0.250
4 Er 0.790 0.210 0.750
5 Ag 0.320 0.680 0.250
6 Ag 0.377 0.623 0.750
7 Ag 0.476 0.524 0.750
8 Ag 0.524 0.476 0.250
9 Ag 0.623 0.377 0.250
10 Ag 0.680 0.320 0.750

[5]
A relaxed NdErAgPb crystal, computed with PBE.

Computed properties:
VASP energy: -17.4 eV per cell
magnetization: 0.17 μB per atom
crystal system: cubic
V: 27.0 A^3/atom

abc: 5.348 5.348 5.348
angles: 60.00 60.00 60.00
Fractional coordinates of all 4 atoms:
1 Nd 0.000 0.000 0.000
2 Er 0.500 0.500 0.500
3 Ag 0.750 0.750 0.750
4 Pb 0.250 0.250 0.250

[6]
A relaxed NdEr2Ag2Pb2 crystal, computed with PBE.

Computed properties:
VASP energy: -29.2 eV per cell
magnetization: 0.00 μB per atom
crystal system: trigonal
V: 26.4 A^3/atom

abc: 9.188 9.188 9.188
angles: 31.21 31.21 31.21
Fractional coordinates of all 7 atoms:
1 Nd 0.000 0.000 0.000
2 Er 0.135 0.135 0.135
3 Er 0.865 0.865 0.865
4 Ag 0.443 0.443 0.443
5 Ag 0.557 0.557 0.557
6 Pb 0.265 0.265 0.265
7 Pb 0.735 0.735 0.735

[7]
A relaxed PmNdErAg crystal, computed with PBE.

Computed properties:
excess energy over the best structure of this formula in the dataset: 0.232 eV/atom
VASP energy: -16.5 eV per cell
magnetization: 0.00 μB per atom
crystal system: cubic
V: 28.8 A^3/atom

abc: 5.463 5.463 5.463
angles: 60.00 60.00 60.00
Fractional coordinates of all 4 atoms:
1 Pm 0.000 0.000 0.000
2 Nd 0.250 0.250 0.250
3 Er 0.750 0.750 0.750
4 Ag 0.500 0.500 0.500

[8]
A relaxed PmNdErAg crystal, computed with PBE.

Computed properties:
excess energy over the best structure of this formula in the dataset: 0.000 eV/atom
VASP energy: -17.4 eV per cell
magnetization: 0.00 μB per atom
crystal system: tetragonal
V: 29.3 A^3/atom

abc: 3.667 3.667 8.726
angles: 90.00 90.00 90.00
Fractional coordinates of all 4 atoms:
1 Pm 0.000 0.000 0.000
2 Nd 0.500 0.500 0.295
3 Er 0.000 0.000 0.582
4 Ag 0.500 0.500 0.774

[9]
A relaxed NdErAgRu crystal, computed with PBE.

Computed properties:
excess energy over the best structure of this formula in the dataset: 0.073 eV/atom
VASP energy: -22.5 eV per cell
magnetization: 0.00 μB per atom
crystal system: cubic
V: 22.4 A^3/atom

abc: 5.024 5.024 5.024
angles: 60.00 60.00 60.00
Fractional coordinates of all 4 atoms:
1 Nd 0.000 0.000 0.000
2 Er 0.500 0.500 0.500
3 Ag 0.250 0.250 0.250
4 Ru 0.750 0.750 0.750

[10]
A relaxed NdErAgRu crystal, computed with PBE.

Computed properties:
excess energy over the best structure of this formula in the dataset: 0.000 eV/atom
VASP energy: -22.8 eV per cell
magnetization: 0.00 μB per atom
crystal system: tetragonal
V: 22.7 A^3/atom

abc: 3.454 3.454 7.627
angles: 90.00 90.00 90.00
Fractional coordinates of all 4 atoms:
1 Nd 0.000 0.000 0.000
2 Er 0.000 0.000 0.555
3 Ag 0.500 0.500 0.298
4 Ru 0.500 0.500 0.764

[11]
A relaxed NdErScAg crystal, computed with PBE.

Computed properties:
excess energy over the best structure of this formula in the dataset: 0.000 eV/atom
VASP energy: -18.9 eV per cell
magnetization: 0.00 μB per atom
crystal system: tetragonal
V: 26.6 A^3/atom

abc: 3.562 3.562 8.372
angles: 90.00 90.00 90.00
Fractional coordinates of all 4 atoms:
1 Nd 0.000 0.000 0.000
2 Er 0.500 0.500 0.692
3 Sc 0.500 0.500 0.283
4 Ag 0.000 0.000 0.471

[12]
A relaxed NdErScAg crystal, computed with PBE.

Computed properties:
excess energy over the best structure of this formula in the dataset: 0.148 eV/atom
VASP energy: -18.4 eV per cell
magnetization: 0.00 μB per atom
crystal system: cubic
V: 26.6 A^3/atom

abc: 5.316 5.316 5.316
angles: 60.00 60.00 60.00
Fractional coordinates of all 4 atoms:
1 Nd 0.000 0.000 0.000
2 Er 0.500 0.500 0.500
3 Sc 0.250 0.250 0.250
4 Ag 0.750 0.750 0.750

[13]
A relaxed Nd2ErAgSe5 crystal, computed with PBE.

Computed properties:
VASP energy: -96.6 eV per cell
magnetization: 0.00 μB per atom
crystal system: orthorhombic
formation energy (no corrections): -1.546 eV/atom
V: 25.2 A^3/atom

abc: 8.998 8.998 12.515
angles: 90.00 90.00 153.36
Fractional coordinates of all 18 atoms:
1 Nd 0.110 0.890 0.500
2 Nd 0.125 0.875 0.120
3 Nd 0.875 0.125 0.620
4 Nd 0.890 0.110 0.000
5 Er 0.196 0.804 0.823
6 Er 0.804 0.196 0.323
7 Ag 0.443 0.557 0.273
8 Ag 0.557 0.443 0.773
9 Se 0.046 0.954 0.894
10 Se 0.286 0.714 0.480
11 Se 0.305 0.695 0.160
12 Se 0.358 0.642 0.814
13 Se 0.498 0.502 0.587
14 Se 0.502 0.498 0.087
15 Se 0.642 0.358 0.314
16 Se 0.695 0.305 0.660
17 Se 0.714 0.286 0.980
18 Se 0.954 0.046 0.394

[14]
A relaxed NdErAg2Se4 crystal, computed with PBE.

Computed properties:
VASP energy: -38.2 eV per cell
magnetization: 0.00 μB per atom
crystal system: monoclinic
formation energy (no corrections): -1.151 eV/atom
V: 25.0 A^3/atom

abc: 6.884 4.231 7.328
angles: 90.00 110.74 90.00
Fractional coordinates of all 8 atoms:
1 Nd 0.000 0.000 0.000
2 Er 0.000 0.500 0.500
3 Ag 0.500 0.000 0.500
4 Ag 0.500 0.500 0.000
5 Se 0.247 0.000 0.741
6 Se 0.250 0.500 0.259
7 Se 0.750 0.500 0.741
8 Se 0.753 0.000 0.259

[15]
A relaxed Nd2ErAg3Se6 crystal, computed with PBE.

Computed properties:
VASP energy: -57.5 eV per cell
magnetization: 0.00 μB per atom
crystal system: monoclinic
formation energy (no corrections): -1.166 eV/atom
V: 27.5 A^3/atom

abc: 8.439 8.439 9.660
angles: 102.40 102.40 29.50
Fractional coordinates of all 12 atoms:
1 Nd 0.160 0.160 0.315
2 Nd 0.840 0.840 0.685
3 Er 0.500 0.500 0.000
4 Ag 0.166 0.166 0.729
5 Ag 0.500 0.500 0.500
6 Ag 0.834 0.834 0.271
7 Se 0.020 0.020 0.810
8 Se 0.324 0.324 0.882
9 Se 0.343 0.343 0.461
10 Se 0.657 0.657 0.539
11 Se 0.676 0.676 0.118
12 Se 0.980 0.980 0.190

[16]
A relaxed NdErSiAg crystal, computed with PBE.

Computed properties:
VASP energy: -19.3 eV per cell
magnetization: 0.00 μB per atom
crystal system: cubic
formation energy (no corrections): -0.416 eV/atom
V: 23.7 A^3/atom

abc: 5.115 5.115 5.115
angles: 60.00 60.00 60.00
Fractional coordinates of all 4 atoms:
1 Nd 0.000 0.000 0.000
2 Er 0.500 0.500 0.500
3 Si 0.750 0.750 0.750
4 Ag 0.250 0.250 0.250

[17]
A relaxed NdErAgSn crystal, computed with PBE.

Computed properties:
VASP energy: -18.2 eV per cell
magnetization: 0.00 μB per atom
crystal system: cubic
V: 26.3 A^3/atom

abc: 5.298 5.298 5.298
angles: 60.00 60.00 60.00
Fractional coordinates of all 4 atoms:
1 Nd 0.000 0.000 0.000
2 Er 0.500 0.500 0.500
3 Ag 0.750 0.750 0.750
4 Sn 0.250 0.250 0.250

[18]
A relaxed NdEr2Ag2Sn2 crystal, computed with PBE.

Computed properties:
VASP energy: -30.7 eV per cell
magnetization: 0.00 μB per atom
crystal system: trigonal
V: 25.5 A^3/atom

abc: 9.109 9.109 9.109
angles: 31.04 31.04 31.04
Fractional coordinates of all 7 atoms:
1 Nd 0.000 0.000 0.000
2 Er 0.135 0.135 0.135
3 Er 0.865 0.865 0.865
4 Ag 0.440 0.440 0.440
5 Ag 0.560 0.560 0.560
6 Sn 0.263 0.263 0.263
7 Sn 0.737 0.737 0.737

[19]
A relaxed TbNdErAg crystal, computed with PBE.

Computed properties:
excess energy over the best structure of this formula in the dataset: 0.000 eV/atom
VASP energy: -17.4 eV per cell
magnetization: 0.00 μB per atom
crystal system: tetragonal
V: 28.7 A^3/atom

abc: 3.617 3.617 8.789
angles: 90.00 90.00 90.00
Fractional coordinates of all 4 atoms:
1 Tb 0.000 0.000 0.000
2 Nd 0.500 0.500 0.294
3 Er 0.000 0.000 0.585
4 Ag 0.500 0.500 0.785

[20]
A relaxed TbNdErAg crystal, computed with PBE.

Computed properties:
excess energy over the best structure of this formula in the dataset: 0.193 eV/atom
VASP energy: -16.6 eV per cell
magnetization: 0.00 μB per atom
crystal system: cubic
V: 28.3 A^3/atom

abc: 5.428 5.428 5.428
angles: 60.00 60.00 60.00
Fractional coordinates of all 4 atoms:
1 Tb 0.000 0.000 0.000
2 Nd 0.500 0.500 0.500
3 Er 0.750 0.750 0.750
4 Ag 0.250 0.250 0.250